Crystalline Er4Rh2Au at its relaxed geometry. Source: the Alexandria database, functional PBE-GGA.

Cell: 4.851 4.851 8.368 Å, 73.15 73.15 60.00°
Sites, in units of the cell vectors:
Er 0.128 0.128 0.616
Au 0.000 0.000 0.000
Er 0.621 0.621 0.137
Er 0.872 0.872 0.384
Er 0.379 0.379 0.863
Rh 0.750 0.750 0.751
Rh 0.250 0.250 0.249

As for the density of states at the Fermi level: 4.048 states/eV/f.u. The space group is R-3m (166). The value obtained for the formation energy is -0.770 eV per atom. Its total energy is -41.62 eV/cell.